# 1
The following is a PBE calculation of an optimized crystal structure of NaZnP, from Alexandria via LeMat-Bulk.

Computed properties:
The calculation puts the energy of formation at -0.420 eV per atom. The total magnetization comes out at 0.000 μB per atom. Its total energy is -18.53 eV for the cell shown. As for the space-group type: P6_3/mmc, No. 194.

Unit cell a=4.0458 b=4.0458 c=8.7135 alpha=90.00 beta=90.00 gamma=120.00
With the nearest neighbours (Å) after each atom.
Atoms (fractional coordinates):
P 0.3333 0.6667 0.7500  3 Zn 2.34
P 0.6667 0.3333 0.2500  3 Zn 2.34
Zn 0.3333 0.6667 0.2500  3 P 2.34
Zn 0.6667 0.3333 0.7500  3 P 2.34
Na 0.0000 0.0000 0.0000  6 Zn 3.19, 6 P 3.19
Na 0.0000 0.0000 0.5000  6 Zn 3.19, 6 P 3.19

# 2
The following is a PBE calculation of an optimized crystal structure of MnAlSi, from Alexandria via LeMat-Bulk.

Computed properties:
The calculation puts the density of states at the Fermi level at 0.678 states/eV per atom. As for the uncorrected formation energy: -0.025 eV per atom. The total magnetization comes out at 0.721 μB per atom. Its total energy is -36.82 eV for the cell shown. As for the space-group type: Immm, No. 71.

Unit cell a=2.7668 b=5.1429 c=6.4766 alpha=113.39 beta=102.33 gamma=90.00
With the nearest neighbours (Å) after each atom.
Atoms (fractional coordinates):
Mn 0.8363 0.3363 0.6726  4 Si 2.42-2.57, 4 Al 2.66
Mn 0.1637 0.6637 0.3274  4 Si 2.42-2.57, 4 Al 2.66
Al 0.5000 0.7454 0.0000  4 Al 2.52-2.77, 4 Mn 2.66, 4 Si 2.69
Al 0.5000 0.2546 0.0000  4 Al 2.52-2.77, 4 Mn 2.66, 4 Si 2.69
Si 0.1646 0.1646 0.3292  4 Mn 2.42-2.57, 4 Al 2.69
Si 0.8354 0.8354 0.6708  4 Mn 2.42-2.57, 4 Al 2.69

# 3
The following is a PBE calculation of an optimized crystal structure of B2Pt5, from Alexandria via LeMat-Bulk.

Computed properties:
The calculation puts the density of states at the Fermi level at 0.316 states/eV per atom. The calculation puts the energy of formation at -0.186 eV per atom. The total magnetization comes out at 0.000 μB per atom. Its total energy is -89.72 eV for the cell shown. As for the space-group type: C2/c, No. 15.

Unit cell a=5.1620 b=5.5271 c=7.0273 alpha=95.63 beta=111.55 gamma=90.00
With the nearest neighbours (Å) after each atom.
Atoms (fractional coordinates):
B 0.1856 0.4261 0.7754  6 Pt 2.15-2.31
B 0.4102 0.0739 0.2246  6 Pt 2.15-2.31
B 0.8144 0.5739 0.2246  6 Pt 2.15-2.31
B 0.5898 0.9261 0.7754  6 Pt 2.15-2.31
Pt 0.1785 0.4187 0.1911  2 B 2.15-2.24
Pt 0.9874 0.0813 0.8089  2 B 2.15-2.24
Pt 0.2440 0.6791 0.5743  2 B 2.18-2.19
Pt 0.6698 0.8209 0.4257  2 B 2.18-2.19
Pt 0.7560 0.3209 0.4257  2 B 2.18-2.19
Pt 0.3302 0.1791 0.5743  2 B 2.18-2.19
Pt 0.0126 0.9187 0.1911  2 B 2.15-2.24
Pt 0.8215 0.5813 0.8089  2 B 2.15-2.24
Pt 0.5622 0.2500 0.0000  4 B 2.29-2.31
Pt 0.4378 0.7500 0.0000  4 B 2.29-2.31

# 4
The following is a PBE calculation of an optimized crystal structure of AcTc2HgO7, from Alexandria via LeMat-Bulk.

Computed properties:
The calculation puts the density of states at the Fermi level at 0.553 states/eV per atom. As for the uncorrected formation energy: -1.649 eV per atom. The total magnetization comes out at 0.000 μB per atom. Its total energy is -77.98 eV for the cell shown. As for the space-group type: P4/mmm, No. 123.

Unit cell a=3.9382 b=3.9382 c=11.8692 alpha=90.00 beta=90.00 gamma=90.00
With the nearest neighbours (Å) after each atom.
Atoms (fractional coordinates):
Ac 0.0000 0.0000 0.0000  12 O 2.69-2.78
Tc 0.5000 0.5000 0.1838  1 O 1.70
Tc 0.5000 0.5000 0.8162  1 O 1.70
Hg 0.0000 0.0000 0.5000  8 O 3.46
O 0.5000 0.5000 0.6732  1 Tc 1.70
O 0.0000 0.5000 0.1538  2 Tc 2.00
O 0.5000 0.0000 0.1538  2 Tc 2.00
O 0.0000 0.5000 0.8462  2 Tc 2.00
O 0.5000 0.0000 0.8462  2 Tc 2.00
O 0.5000 0.5000 0.3268  1 Tc 1.70
O 0.5000 0.5000 0.0000  2 Tc 2.18

# 5
The following is a PBE calculation of an optimized crystal structure of K2RbI, from Alexandria via LeMat-Bulk.

Computed properties:
The calculation puts the density of states at the Fermi level at 0.660 states/eV per atom. As for the uncorrected formation energy: -0.653 eV per atom. The total magnetization comes out at 0.000 μB per atom. Its total energy is -7.32 eV for the cell shown. As for the space-group type: P4/mmm, No. 123.

Unit cell a=4.4655 b=4.4655 c=12.1937 alpha=90.00 beta=90.00 gamma=90.00
With the nearest neighbours (Å) after each atom.
Atoms (fractional coordinates):
I 0.5000 0.5000 0.0000  8 K 3.79
K 0.0000 0.0000 0.8284  4 I 3.79, 1 K 4.18
K 0.0000 0.0000 0.1716  4 I 3.79, 1 K 4.18
Rb 0.5000 0.5000 0.5000  4 Rb 4.47

# 6
The following is a PBE calculation of an optimized crystal structure of Na2CuRuCl, from Alexandria via LeMat-Bulk.

Computed properties:
The calculation puts the density of states at the Fermi level at 0.656 states/eV per atom. As for the uncorrected formation energy: 0.582 eV per atom. The total magnetization comes out at 0.484 μB per atom. Its total energy is -14.95 eV for the cell shown. As for the space-group type: P4/mmm, No. 123.

Unit cell a=5.7854 b=4.5893 c=5.7854 alpha=90.00 beta=90.00 gamma=90.00
With the nearest neighbours (Å) after each atom.
Atoms (fractional coordinates):
Ru 0.0000 0.0000 0.0000  2 Cu 2.29
Na 0.0000 0.0000 0.5000  2 Ru 2.89
Na 0.5000 0.0000 0.0000  2 Ru 2.89
Cu 0.0000 0.5000 0.0000  2 Ru 2.29
Cl 0.5000 0.5000 0.5000  8 Na 3.69, 4 Cu 4.09

# 7
The following is a PBE calculation of an optimized crystal structure of CdSiRu2, from Alexandria via LeMat-Bulk.

Computed properties:
The calculation puts the density of states at the Fermi level at 0.748 states/eV per atom. As for the uncorrected formation energy: -0.080 eV per atom. The total magnetization comes out at 0.000 μB per atom. Its total energy is -25.21 eV for the cell shown. As for the space-group type: R-3m, No. 166.

Unit cell a=8.5675 b=8.5675 c=8.5675 alpha=19.38 beta=19.38 gamma=19.38
With the nearest neighbours (Å) after each atom.
Atoms (fractional coordinates):
Cd 0.7500 0.7500 0.7500  6 Cd 2.88, 6 Ru 2.93
Ru 0.9878 0.9878 0.9878  3 Si 2.45
Ru 0.5122 0.5122 0.5122  3 Si 2.45
Si 0.2500 0.2500 0.2500  6 Ru 2.45

# 8
The following is a PBE calculation of an optimized crystal structure of Hf3GaTc2, from Alexandria via LeMat-Bulk.

Computed properties:
The calculation puts the density of states at the Fermi level at 0.424 states/eV per atom. The calculation puts the energy of formation at -0.550 eV per atom. The total magnetization comes out at 0.000 μB per atom. Its total energy is -56.92 eV for the cell shown. As for the space-group type: P4/mmm, No. 123.

Unit cell a=3.3290 b=3.3290 c=9.6456 alpha=90.00 beta=90.00 gamma=90.00
With the nearest neighbours (Å) after each atom.
Atoms (fractional coordinates):
Hf 0.0000 0.0000 0.0000  8 Tc 2.88, 2 Hf 3.14
Hf 0.0000 0.0000 0.6748  4 Tc 2.78, 4 Ga 2.90
Hf 0.0000 0.0000 0.3252  4 Tc 2.78, 4 Ga 2.90
Ga 0.5000 0.5000 0.5000  8 Hf 2.90, 2 Tc 3.16
Tc 0.5000 0.5000 0.8280  8 Hf 2.78-2.88
Tc 0.5000 0.5000 0.1720  8 Hf 2.78-2.88